## CoPSO2 (PBE+U)

Data for a geometry-optimized CoPSO2 structure.

Cell: 3.4881 3.4881 5.6377 Å, 90.00 90.00 90.00°
Atoms (fractional coordinates):
P (0.0000, 0.0000, 0.5000)
S (0.5000, 0.5000, 0.5000)
Co (0.0000, 0.0000, 0.0000)
O (0.0000, 0.5000, 0.0000)
O (0.5000, 0.0000, 0.0000)

Summary:
The calculation puts the uncorrected energy at -4.85 eV/atom. As for the calculated density: 3.73 g cm⁻³.